Record 1
PaTi2Cu9 | GGA-PBE | optimized geometry

- DOS(E_F) (states/eV per atom) = 1.052
- formation energy (eV per atom) = -0.023

Structure (POSCAR):
```
PaTi2Cu9
1.0
-4.242 -2.355 -1.188
-0.337 -4.956 0.526
-4.157 -1.467 7.245
Pa Cu Ti
1 9 2
direct
0.000 0.000 0.000 Pa
0.500 0.500 0.500 Cu
0.587 0.083 0.744 Cu
0.413 0.917 0.256 Cu
0.587 0.587 0.744 Cu
0.083 0.587 0.744 Cu
0.917 0.413 0.256 Cu
0.413 0.413 0.256 Cu
0.667 0.667 0.998 Cu
0.333 0.333 0.002 Cu
0.848 0.848 0.455 Ti
0.152 0.152 0.545 Ti
```

***

Record 2
PaTlCu | GGA-PBE | optimized geometry

- E above lowest polymorph (kJ/mol of atoms) = 1.9
- DOS(E_F) (states/eV per atom) = 1.601
- formation energy (eV per atom) = 0.209

Structure (POSCAR):
```
PaTlCu
1.0
3.233 0.000 0.000
0.000 3.233 0.000
-1.617 -1.617 6.189
Pa Tl Cu
1 1 1
direct
0.017 0.017 0.035 Pa
0.313 0.313 0.626 Tl
0.670 0.670 0.339 Cu
```

***

Record 3
PaTlCu | GGA-PBE | optimized geometry

- E above lowest polymorph (kJ/mol of atoms) = 6.1
- DOS(E_F) (states/eV per atom) = 1.318
- formation energy (eV per atom) = 0.253

Structure (POSCAR):
```
PaTlCu
1.0
5.473 0.000 0.000
2.736 4.494 0.000
2.736 0.000 10.570
Cu Tl Pa
4 4 4
direct
0.878 0.500 0.245 Cu
0.622 0.500 0.755 Cu
0.128 0.000 0.745 Cu
0.872 0.000 0.255 Cu
0.326 0.500 0.348 Tl
0.174 0.500 0.652 Tl
0.424 0.000 0.152 Tl
0.576 0.000 0.848 Tl
0.598 0.803 0.500 Pa
0.152 0.697 0.000 Pa
0.902 0.197 0.500 Pa
0.848 0.303 0.000 Pa
```

***

no.,V (Å³/f.u.)
1,172.4
2,64.7
3,65.0